No. 1
Ac3Zn3Pt2 (PBE, optimized geometry); uncorrected energy = -4.251 eV/atom; ΔE_f = -723 meV/atom; crystal system = orthorhombic
1.0
2.199 -5.724 0.000
2.199 5.724 0.000
0.000 0.000 16.697
Ac Zn Pt
6 6 4
Direct
0.096 0.904 0.750
0.364 0.636 0.590
0.364 0.636 0.910
0.636 0.364 0.090
0.636 0.364 0.410
0.904 0.096 0.250
0.080 0.920 0.554
0.080 0.920 0.946
0.194 0.806 0.250
0.806 0.194 0.750
0.920 0.080 0.054
0.920 0.080 0.446
0.335 0.665 0.117
0.335 0.665 0.383
0.665 0.335 0.617
0.665 0.335 0.883

---

No. 2
SiBAuC (PBE, optimized geometry); energy relative to the elements, uncorrected = 284 meV/atom; uncorrected energy = -5.867 eV/atom; E above lowest polymorph = 0.072 eV/atom; crystal system = triclinic
1.0
2.777 0.000 0.000
1.372 4.557 0.000
1.389 -0.400 4.564
Si B Au C
1 1 1 1
Direct
0.000 0.000 0.000
0.163 0.138 0.537
0.782 0.545 0.885
0.744 0.107 0.404

---

No. 3
BaZn2SiIr (PBE, optimized geometry); energy relative to the elements, uncorrected = -387 meV/atom; uncorrected energy = -4.138 eV/atom; crystal system = tetragonal
1.0
4.951 0.000 0.000
0.000 4.951 0.000
0.000 0.000 4.628
Ba Zn Si Ir
1 2 1 1
Direct
0.000 0.000 0.000
0.000 0.500 0.500
0.500 0.000 0.500
0.500 0.500 0.000
0.500 0.500 0.500

---

No. 4
FeMoP2 (PBE, optimized geometry); uncorrected energy = -7.214 eV/atom; ΔE_f = 315 meV/atom; crystal system = cubic
1.0
5.977 0.000 0.000
0.000 5.977 0.000
0.000 0.000 5.977
Fe Mo P
4 4 8
Direct
0.000 0.000 0.000
0.000 0.500 0.500
0.500 0.000 0.500
0.500 0.500 0.000
0.250 0.250 0.250
0.250 0.750 0.750
0.750 0.250 0.750
0.750 0.750 0.250
0.000 0.000 0.500
0.000 0.500 0.000
0.250 0.250 0.750
0.250 0.750 0.250
0.500 0.000 0.000
0.500 0.500 0.500
0.750 0.250 0.250
0.750 0.750 0.750

---

No. 5
Ba2SbAu (PBE, optimized geometry); energy relative to the elements, uncorrected = -880 meV/atom; uncorrected energy = -3.691 eV/atom; crystal system = orthorhombic
1.0
5.066 0.000 0.000
0.000 4.702 0.000
0.000 0.000 12.711
Ba Sb Au
4 2 2
Direct
0.000 0.000 0.000
0.000 0.500 0.500
0.500 0.000 0.270
0.500 0.500 0.770
0.500 0.000 0.557
0.500 0.500 0.057
0.000 0.000 0.724
0.000 0.500 0.224

---

No. 6
CdPt2W (PBE, optimized geometry); uncorrected energy = -6.475 eV/atom; ΔE_f = 12 meV/atom; crystal system = orthorhombic
1.0
2.821 0.000 0.000
0.000 4.111 0.000
0.000 0.000 5.804
Cd Pt W
1 2 1
Direct
0.000 0.000 0.000
0.000 0.000 0.509
0.500 0.500 0.231
0.500 0.500 0.694

---

No. 7
SrMgRh (PBE, optimized geometry); uncorrected energy = -3.737 eV/atom; ΔE_f = -194 meV/atom; crystal system = hexagonal
1.0
4.515 0.000 0.000
-2.257 3.910 0.000
0.000 0.000 4.344
Sr Mg Rh
1 1 1
Direct
0.000 0.000 0.000
0.667 0.333 0.500
0.333 0.667 0.500

---

No. 8
Rb2PaTaO6 (PBE, optimized geometry); energy relative to the elements, uncorrected = -2846 meV/atom; uncorrected energy = -8.149 eV/atom; crystal system = tetragonal
1.0
5.958 0.000 0.000
0.000 5.958 0.000
0.000 0.000 4.409
Rb Pa Ta O
2 1 1 6
Direct
0.000 0.500 0.000
0.500 0.000 0.000
0.000 0.000 0.513
0.500 0.500 0.461
0.000 0.000 0.015
0.262 0.262 0.518
0.262 0.738 0.518
0.500 0.500 0.044
0.738 0.262 0.518
0.738 0.738 0.518

---

No. 9
AcSm6Dy (PBE, optimized geometry); uncorrected energy = -4.596 eV/atom; ΔE_f = 33 meV/atom; crystal system = tetragonal
1.0
5.177 0.000 0.000
0.000 5.177 0.000
0.000 0.000 10.351
Ac Sm Dy
1 6 1
Direct
0.000 0.000 0.000
0.000 0.500 0.258
0.000 0.500 0.742
0.500 0.000 0.258
0.500 0.000 0.742
0.500 0.500 0.000
0.500 0.500 0.500
0.000 0.000 0.500

---

No. 10
BaCdB2 (PBE, optimized geometry); uncorrected energy = -3.187 eV/atom; ΔE_f = 862 meV/atom; crystal system = tetragonal
1.0
4.689 0.000 0.000
0.000 4.689 0.000
0.000 0.000 15.744
Ba Cd B
4 4 8
Direct
0.000 0.250 0.375
0.000 0.750 0.625
0.500 0.250 0.125
0.500 0.750 0.875
0.000 0.250 0.875
0.000 0.750 0.125
0.500 0.250 0.625
0.500 0.750 0.375
0.000 0.000 0.000
0.000 0.500 0.000
0.250 0.250 0.750
0.250 0.750 0.250
0.500 0.000 0.500
0.500 0.500 0.500
0.750 0.250 0.750
0.750 0.750 0.250

---

No. 11
ZrTa2TiH (PBE, optimized geometry); uncorrected energy = -8.645 eV/atom; E above lowest polymorph = 0.005 eV/atom; crystal system = tetragonal
1.0
4.054 0.000 0.000
0.000 4.054 0.000
0.000 0.000 4.825
Zr Ta Ti H
1 2 1 1
Direct
0.000 0.000 0.000
0.000 0.500 0.500
0.500 0.000 0.500
0.500 0.500 0.000
0.000 0.000 0.500

---

No. 12
Mg5Pt3 (PBE, optimized geometry); uncorrected energy = -3.976 eV/atom; E above lowest polymorph = 0.021 eV/atom; ΔE_f = -715 meV/atom; crystal system = hexagonal
1.0
7.858 0.000 0.000
-3.929 6.805 0.000
0.000 0.000 5.387
Mg Pt
10 6
Direct
0.000 0.258 0.250
0.000 0.742 0.750
0.258 0.000 0.250
0.258 0.258 0.750
0.333 0.667 0.000
0.333 0.667 0.500
0.667 0.333 0.000
0.667 0.333 0.500
0.742 0.000 0.750
0.742 0.742 0.250
0.000 0.391 0.750
0.000 0.609 0.250
0.391 0.000 0.750
0.391 0.391 0.250
0.609 0.000 0.250
0.609 0.609 0.750

---

Which of these has the highest uncorrected energy? BaCdB2

---

Which value of uncorrected energy does entry 2 give? -5.867 eV/atom

---

Copy entry 3 word for word.
BaZn2SiIr (PBE, optimized geometry); energy relative to the elements, uncorrected = -387 meV/atom; uncorrected energy = -4.138 eV/atom; crystal system = tetragonal
1.0
4.951 0.000 0.000
0.000 4.951 0.000
0.000 0.000 4.628
Ba Zn Si Ir
1 2 1 1
Direct
0.000 0.000 0.000
0.000 0.500 0.500
0.500 0.000 0.500
0.500 0.500 0.000
0.500 0.500 0.500

---

Number 9 is which compound? AcSm6Dy